Computed, not measured: an optimized crystal structure of NaVRe2Si at the GGA-PBE level of DFT.

The calculation puts the total magnetization at 0.00 μB/cell. The calculation puts the formation energy without anion corrections at 1.37 eV per atom. For the density of states at the Fermi level, the calculation gives 3.734 states/eV/cell.

The structure belongs to space group P4/mmm (No. 123); the cell edges are 4.552, 4.552 and 4.644 Å and the angles 90.00°, 90.00° and 90.00°. The inequivalent atoms are Na at (0.000, 0.000, 0.000), V at (0.500, 0.500, 0.500), Re at (0.000, 0.500, 0.500) and Si at (0.500, 0.500, 0.000).